Entry 1:
MgReAg2 PBE-GGA relaxed; M_tot = 0.33 μB per formula unit; formation energy from the elements = 0.4790 eV per atom; space-group type = Imm2, No. 44; final energy = -0.1638 Ha/atom; D(E_F) = 2.49 states/eV/f.u.
1.0
5.7003 -0.0012 -0.0076
2.8559 4.9333 0.0076
-3.5298 -3.7642 2.4217
Ag Mg Re
2 1 1
Cartesian
8.5521 4.9297 0.0000 Ag
3.2102 -0.6578 1.2071 Ag
4.2888 2.4722 0.0000 Mg
1.8095 1.8218 1.2146 Re



Entry 2:
Mg2ReAg PBE-GGA relaxed; M_tot = 0.00 μB per formula unit; excess energy over the best structure of this formula in the dataset = 31.1 meV per atom; formation energy from the elements = 0.1608 eV per atom; space-group type = R-3m, No. 166; final energy = -0.1639 Ha/atom; D(E_F) = 1.89 states/eV/f.u.
1.0
9.5545 -0.0110 -0.0064
9.1200 2.8485 -0.0064
9.1200 1.3857 2.4887
Ag Mg Re
1 2 1
Cartesian
20.8459 3.1674 1.8569 Ag
27.7643 4.2187 2.4731 Mg
13.9274 2.1162 1.2406 Mg
6.9486 1.0558 0.6190 Re



Entry 3:
MgReAg2 PBE-GGA relaxed; M_tot = 0.00 μB per formula unit; formation energy from the elements = 0.4192 eV per atom; space-group type = Cm, No. 8; final energy = -0.1660 Ha/atom; D(E_F) = 2.70 states/eV/f.u.
1.0
-3.9143 2.7943 1.3597
-4.7668 1.3017 -0.7497
-2.1724 -3.3998 3.2836
Ag Mg Re
2 1 1
Cartesian
-8.6832 4.0624 0.6346 Ag
-8.1498 0.5299 2.9186 Ag
-5.4202 0.3830 1.9195 Mg
-2.7081 0.1649 0.9778 Re



Entry 4:
Mg2ReAg PBE-GGA relaxed; M_tot = 0.00 μB per formula unit; excess energy over the best structure of this formula in the dataset = 116.2 meV per atom; formation energy from the elements = 0.2459 eV per atom; space-group type = Cm, No. 8; final energy = -0.1608 Ha/atom; D(E_F) = 1.82 states/eV/f.u.
1.0
-3.0730 -3.1084 -3.2823
-0.8576 -2.4406 -4.8153
1.4400 -4.8816 -0.0455
Ag Mg Re
1 2 1
Cartesian
-0.7342 -2.1364 -1.9916 Ag
-3.7738 -5.9680 -8.0535 Mg
-2.0326 -7.4048 -6.1630 Mg
-1.1259 -5.6859 -4.1041 Re



Entry 5:
MgReAg PBE-GGA relaxed; M_tot = 0.00 μB per formula unit; excess energy over the best structure of this formula in the dataset = 5.8 meV per atom; formation energy from the elements = 0.3337 eV per atom; space-group type = I4mm, No. 107; final energy = -0.1947 Ha/atom; D(E_F) = 1.11 states/eV/f.u.
1.0
6.9438 -0.0060 0.0000
5.8788 3.6954 0.0000
-6.4113 -1.8447 1.9258
Ag Mg Re
1 1 1
Cartesian
0.0051 0.0015 0.0000 Ag
4.2341 1.2183 0.0000 Mg
8.5833 2.4697 0.0000 Re



Entry 6:
Mg2ReAg PBE-GGA relaxed; M_tot = 1.34 μB per formula unit; excess energy over the best structure of this formula in the dataset = 356.7 meV per atom; formation energy from the elements = 0.4864 eV per atom; space-group type = Fm-3m, No. 225; final energy = -0.1520 Ha/atom; D(E_F) = 4.31 states/eV/f.u.
1.0
-0.9805 -4.4451 0.6296
-2.3144 -1.3352 3.7386
-4.3354 -1.4737 -0.3860
Re Mg Ag
1 2 1
Cartesian
-3.8151 -3.6270 1.9911 Re
-1.9076 -1.8135 0.9956 Mg
-5.7227 -5.4405 2.9867 Mg
0.0000 0.0000 0.0000 Ag



Entry 7:
MgReAg2 PBE-GGA relaxed; M_tot = 0.00 μB per formula unit; formation energy from the elements = 0.3883 eV per atom; space-group type = Cmmm, No. 65; final energy = -0.1671 Ha/atom; D(E_F) = 2.57 states/eV/f.u.
1.0
-0.1710 -2.2624 -1.5452
0.6581 -0.8630 2.5214
-9.0193 -0.7506 2.0969
Ag Mg Re
2 1 1
Cartesian
-0.0276 -0.0023 0.0064 Ag
-4.4820 -0.3730 1.0420 Ag
-2.0113 -1.7504 1.0123 Mg
-6.5209 -2.1257 2.0608 Re



Entry 8:
MgReAg PBE-GGA relaxed; M_tot = 2.08 μB per formula unit; excess energy over the best structure of this formula in the dataset = 870.6 meV per atom; formation energy from the elements = 1.1985 eV per atom; space-group type = F-43m, No. 216; final energy = -0.1629 Ha/atom; D(E_F) = 1.80 states/eV/f.u.
1.0
-3.0845 -3.0776 0.6282
0.1162 -2.5301 3.6008
-3.0223 0.5251 3.1576
Ag Mg Re
1 1 1
Cartesian
-4.4930 -3.8120 5.5399 Ag
0.0000 0.0000 0.0000 Mg
-2.9954 -2.5413 3.6933 Re